# Pr5N4Cl PBE-GGA optimized geometry
# D(E_F)	0.265	states/eV/atom
# density	6.926	g/cm3
# DFT total energy	-7.275	eV per atom
# formation energy (no corrections)	-1.37	eV/atom
# symmetry	C2/m, No. 12
data_Pr5N4Cl
_chemical_formula_sum 'Pr5 N4 Cl1'
_cell_length_a 3.7217
_cell_length_b 6.5156
_cell_length_c 8.5496
_cell_angle_alpha 76.84
_cell_angle_beta 77.43
_cell_angle_gamma 73.41
_space_group_name_H-M_alt 'P 1'
_space_group_IT_number 1
_space_group_name_Hall 'P 1'
loop_
_atom_site_label
_atom_site_fract_x
_atom_site_fract_y
_atom_site_fract_z
N1 0.6000 0.1989 0.6011
N2 0.8012 0.6003 0.7973
Pr1 0.7892 0.0967 0.3249
Cl1 0.0000 0.0000 0.0000
N3 0.4000 0.8011 0.3989
Pr2 0.0000 0.5000 0.5000
Pr3 0.6104 0.6484 0.1309
Pr4 0.3896 0.3516 0.8691
N4 0.1988 0.3997 0.2027
Pr5 0.2108 0.9033 0.6751